[1]
A relaxed MnAlFe2 crystal. Source: Alexandria via LeMat-Bulk, functional PBEsol.

```
4
Lattice="3.977 0.000 0.000 1.989 3.444 0.000 1.989 1.148 3.247" Properties=species:S:1:pos:R:3 pbc="T T T"
Mn 1.989 1.148 0.812
Fe 0.000 0.000 0.000
Fe 5.966 3.444 2.436
Al 3.977 2.296 1.624
```

Calculated values
- theoretical density (g/cm3) = 7.227
- Fermi-level density of states (states/eV per cell) = 2.00
- energy of formation from the pure elements (meV/atom) = -102.6

---

[2]
A relaxed MnAlFe2 crystal. Source: Alexandria via LeMat-Bulk, functional PBEsol.

```
4
Lattice="-1.703 -1.255 -1.860 -0.756 -2.839 2.607 -1.843 4.147 1.022" Properties=species:S:1:pos:R:3 pbc="T T T"
Mn -3.017 2.063 1.371
Fe -0.043 0.029 0.019
Fe -2.397 0.429 -0.228
Al -1.919 -0.366 2.003
```

Calculated values
- theoretical density (g/cm3) = 7.310
- Fermi-level density of states (states/eV per cell) = 4.41
- energy of formation from the pure elements (meV/atom) = -97.0

---

[3]
A relaxed MnAlFe2 crystal. Source: Alexandria via LeMat-Bulk, functional PBEsol.

```
4
Lattice="2.481 0.000 0.000 -0.710 4.572 0.001 -0.710 -2.149 4.035" Properties=species:S:1:pos:R:3 pbc="T T T"
Mn 1.240 0.000 0.000
Fe -0.355 2.286 0.000
Fe -0.355 -1.074 2.018
Al 0.531 1.212 2.018
```

Calculated values
- theoretical density (g/cm3) = 7.024
- Fermi-level density of states (states/eV per cell) = 4.37
- energy of formation from the pure elements (meV/atom) = -19.9

---

[4]
A relaxed MnAl3Fe crystal. Source: Alexandria via LeMat-Bulk, functional PBEsol.

```
5
Lattice="4.407 0.000 0.000 0.000 4.407 0.000 0.000 0.000 4.407" Properties=species:S:1:pos:R:3 pbc="T T T"
Mn 0.000 0.000 0.000
Fe 2.204 2.204 2.204
Al 0.000 2.204 0.000
Al 0.000 0.000 2.204
Al 2.204 0.000 0.000
```

Calculated values
- theoretical density (g/cm3) = 3.718
- Fermi-level density of states (states/eV per cell) = 6.02
- energy of formation from the pure elements (meV/atom) = 698.4

---

[5]
A relaxed MnAlFeMo crystal. Source: Alexandria via LeMat-Bulk, functional PBEsol.

```
4
Lattice="-1.862 3.428 -1.230 -2.632 1.903 2.486 1.006 3.590 1.681" Properties=species:S:1:pos:R:3 pbc="T T T"
Mo 0.000 0.000 0.000
Mn -0.872 2.230 0.734
Fe -2.615 6.691 2.203
Al -1.744 4.461 1.469
```

Calculated values
- theoretical density (g/cm3) = 8.020
- Fermi-level density of states (states/eV per cell) = 2.14
- energy of formation from the pure elements (meV/atom) = -219.7

---

[6]
A relaxed Mn2AlFeTc crystal. Source: Alexandria via LeMat-Bulk, functional PBEsol.

```
5
Lattice="4.127 0.000 0.000 0.000 4.149 0.000 0.000 0.000 4.149" Properties=species:S:1:pos:R:3 pbc="T T T"
Al 0.000 0.000 0.000
Mn 0.000 0.000 2.075
Mn 0.000 2.075 0.000
Tc 2.063 2.075 2.075
Fe 2.063 0.000 0.000
```

Calculated values
- theoretical density (g/cm3) = 6.794
- Fermi-level density of states (states/eV per cell) = 5.65
- energy of formation from the pure elements (meV/atom) = 1502.8